## A
First-principles (PBE) data for an optimized crystal structure of LiCd2Pd6, as listed in Alexandria.

The calculation puts the total magnetization at 0.00 μB per formula unit. As for the volume: 288.78 Å³ per cell. The crystal system is tetragonal.

The space group is P4_2/mnm (No. 136) and the conventional cell measures 8.397, 8.397 and 4.096 Å, with angles of 90.00, 90.00 and 90.00 degrees. The inequivalent atoms are Li at (0.000, 0.000, 0.000), Cd at (0.176, 0.176, 0.500), Pd at (0.009, 0.333, 0.000) and Pd at (0.155, 0.845, 0.500).



## B
First-principles (PBE) data for an optimized crystal structure of LiCd2Pd6, as listed in Alexandria.

The calculation puts the total magnetization at 0.00 μB per formula unit. As for the volume: 301.60 Å³ per cell. The crystal system is monoclinic.

The space group is C2/m (No. 12) and the conventional cell measures 14.111, 7.736 and 2.815 Å, with angles of 90.00, 101.05 and 90.00 degrees. The inequivalent atoms are Li at (0.000, 0.000, 0.000), Cd at (0.160, 0.500, 0.655), Pd at (0.000, 0.284, 0.500) and Pd at (0.166, 0.184, 0.163).



Relative to the most stable one, in kJ/mol of atoms, the structures come out at A 0.0; B 12.9.



## A
First-principles (PBE) data for an optimized crystal structure of Li2CdPd4, as listed in Alexandria.

The calculation puts the total magnetization at 0.00 μB per formula unit. As for the volume: 311.12 Å³ per cell. The crystal system is tetragonal.

The space group is I4/mmm (No. 139) and the conventional cell measures 4.934, 4.934 and 12.782 Å, with angles of 90.00, 90.00 and 90.00 degrees. The inequivalent atoms are Li at (0.000, 0.000, 0.106), Cd at (0.000, 0.000, 0.500), Pd at (0.000, 0.000, 0.298) and Pd at (0.000, 0.500, 0.000).



## B
First-principles (PBE) data for an optimized crystal structure of Li2CdPd4, as listed in Alexandria.

The calculation puts the total magnetization at 0.00 μB per formula unit. As for the volume: 231.88 Å³ per cell. The crystal system is tetragonal.

The space group is I4/mmm (No. 139) and the conventional cell measures 6.243, 6.243 and 5.950 Å, with angles of 90.00, 90.00 and 90.00 degrees. The inequivalent atoms are Li at (0.000, 0.500, 0.000), Cd at (0.000, 0.000, 0.000) and Pd at (0.250, 0.250, 0.250).



Relative to the most stable one, in kJ/mol of atoms, the structures come out at A 61.5; B 0.0.